Entry A
4
Lattice="9.770 0.034 0.020 8.840 4.160 0.020 8.840 1.992 3.652" Properties=species:S:1:pos:R:3 comment="Ba2ReOs, optimized geometry, DFT GGA-PBE" n_ef_per_ev_cell=2.01 sg="R3m, No. 160" rho_kg_m3=7376 pbc="T T T"
Ba 5.826 1.313 0.784
Ba 1.024 0.231 0.138
Re 21.599 4.867 2.905
Os 12.726 2.868 1.712


Entry B
4
Lattice="-3.478 1.392 -0.876 -0.212 -2.100 -2.494 -4.162 -6.648 5.954" Properties=species:S:1:pos:R:3 comment="Ba2ReOs, optimized geometry, DFT GGA-PBE" n_ef_per_ev_cell=4.77 sg="Pmm2, No. 25" rho_kg_m3=8734 pbc="T T T"
Re -4.545 -4.667 2.177
Os -2.496 -3.987 3.571
Ba -3.233 -2.572 0.301
Ba -3.821 -6.103 5.465


Entry C
4
Lattice="11.761 0.222 0.130 11.304 3.254 0.130 11.304 1.704 2.776" Properties=species:S:1:pos:R:3 comment="Ba2ReOs, optimized geometry, DFT GGA-PBE" n_ef_per_ev_cell=4.91 sg="R-3m, No. 166" rho_kg_m3=11416 pbc="T T T"
Ba 34.312 5.171 3.031
Ba 17.243 2.599 1.523
Os 8.592 1.295 0.759
Re 25.777 3.885 2.277


The energetic minimum among the shown structures is entry A; the next structure lies 36.7 kJ/mol of atoms above.